# 1
## AcZnGeBi (PBE)

Data for a relaxed structure of AcZnGeBi.

a = 7.593 Å, b = 7.593 Å, c = 7.593 Å
α = 90.00°, β = 90.00°, γ = 90.00°
Space group F-43m (No. 216)
Asymmetric unit:
Ac 0.000 0.000 0.000
Zn 0.250 0.250 0.750
Ge 0.250 0.250 0.250
Bi 0.000 0.000 0.500

Computed properties:
The value obtained for the energy is -3.684 eV/atom. Its magnetic moment is 0.00 μB/cell. For the formation enthalpy at 0 K, the calculation gives -0.21 eV/atom.

# 2
## AcBi2H (PBE)

Data for a relaxed structure of AcBi2H.

a = 3.8979 Å, b = 3.8979 Å, c = 27.5746 Å
α = 90.00°, β = 90.00°, γ = 120.00°
Space group R-3m (No. 166, hexagonal axes)
Asymmetric unit:
Ac 0.0000 0.0000 0.0000
Bi 0.0000 0.0000 0.1238
H 0.0000 0.0000 0.5000

Computed properties:
As for the energy relative to the lowest polymorph listed for this composition: 3.05 eV/f.u. The value obtained for the energy is -3.328 eV/atom. Its magnetic moment is 0.00 μB/cell.

# 3
## AcBi2H (PBE)

Data for a relaxed structure of AcBi2H.

a = 4.408 Å, b = 4.408 Å, c = 5.804 Å
α = 90.00°, β = 90.00°, γ = 90.00°
Space group P4/mmm (No. 123)
Asymmetric unit:
Ac 0.000 0.000 0.000
Bi 0.000 0.500 0.500
H 0.500 0.500 0.000

Computed properties:
As for the energy relative to the lowest polymorph listed for this composition: 0.00 eV/f.u. The value obtained for the energy is -4.091 eV/atom. Its magnetic moment is 0.00 μB/cell.

# 4
## Ac7Bi2H12 (PBE)

Data for a relaxed structure of Ac7Bi2H12.

a = 10.2452 Å, b = 10.2452 Å, c = 4.3230 Å
α = 90.00°, β = 90.00°, γ = 120.00°
Space group P-3 (No. 147)
Asymmetric unit:
Ac 0.0000 0.0000 0.0000
Ac 0.0903 0.3953 0.7379
Bi 0.3333 0.6667 0.2404
H 0.0568 0.6322 0.7598
H 0.1320 0.8639 0.2014

Computed properties:
The value obtained for the energy is -4.257 eV/atom. Its magnetic moment is 0.00 μB/cell.